(1)
First-principles (PBE-GGA) data for crystalline Ce3UN6 at its relaxed geometry, as listed in the Alexandria database.

Its energy above the most stable polymorph in this dataset is 0.000 eV per atom.

It has space group R-3 (No. 148, hexagonal axes), with a = 9.8402 Å, b = 9.8402 Å, c = 11.6203 Å, α = 90.00°, β = 90.00° and γ = 120.00°. The inequivalent atoms are Ce at (0.0360, 0.2659, 0.2134), U at (0.0000, 0.0000, 0.0000), U at (0.0000, 0.0000, 0.5000), N at (0.0272, 0.1808, 0.8781) and N at (0.0370, 0.2116, 0.4097).

***

(2)
First-principles (PBE-GGA) data for crystalline CeUN at its relaxed geometry, as listed in the Alexandria database.

Its energy above the most stable polymorph in this dataset is 0.377 eV per atom.

It has space group Cmcm (No. 63), with a = 2.970 Å, b = 23.060 Å, c = 2.999 Å, α = 90.00°, β = 90.00° and γ = 90.00°. The inequivalent atoms are Ce at (0.000, 0.181, 0.250), U at (0.000, 0.053, 0.250) and N at (0.000, 0.390, 0.250).

***

(3)
First-principles (PBE-GGA) data for crystalline CeUN at its relaxed geometry, as listed in the Alexandria database.

Its energy above the most stable polymorph in this dataset is 0.000 eV per atom.

It has space group P3m1 (No. 156), with a = 3.5010 Å, b = 3.5010 Å, c = 4.6670 Å, α = 90.00°, β = 90.00° and γ = 120.00°. The inequivalent atoms are Ce at (0.0000, 0.0000, 0.0000), U at (0.3333, 0.6667, 0.3646) and N at (0.6667, 0.3333, 0.6406).

***

(4)
First-principles (PBE-GGA) data for crystalline CeU3N4 at its relaxed geometry, as listed in the Alexandria database.

It has space group Pm-3m (No. 221), with a = 4.897 Å, b = 4.897 Å, c = 4.897 Å, α = 90.00°, β = 90.00° and γ = 90.00°. The inequivalent atoms are Ce at (0.000, 0.000, 0.000), U at (0.000, 0.500, 0.500), N at (0.000, 0.000, 0.500) and N at (0.500, 0.500, 0.500).

***

(5)
First-principles (PBE-GGA) data for crystalline Ce3UN4 at its relaxed geometry, as listed in the Alexandria database.

It has space group Cmmm (No. 65), with a = 7.064 Å, b = 9.957 Å, c = 3.536 Å, α = 90.00°, β = 90.00° and γ = 90.00°. The inequivalent atoms are Ce at (0.000, 0.000, 0.000), Ce at (0.250, 0.250, 0.500), U at (0.000, 0.500, 0.000), N at (0.000, 0.269, 0.000) and N at (0.224, 0.500, 0.500).

***

(6)
First-principles (PBE-GGA) data for crystalline CeU3N6 at its relaxed geometry, as listed in the Alexandria database.

It has space group Cmmm (No. 65), with a = 7.640 Å, b = 10.942 Å, c = 3.640 Å, α = 90.00°, β = 90.00° and γ = 90.00°. The inequivalent atoms are Ce at (0.000, 0.000, 0.000), U at (0.000, 0.500, 0.000), U at (0.250, 0.250, 0.500), N at (0.000, 0.154, 0.500) and N at (0.209, 0.371, 0.000).

***

(7)
First-principles (PBE-GGA) data for crystalline Ce5UN6 at its relaxed geometry, as listed in the Alexandria database.

It has space group C2/m (No. 12), with a = 6.141 Å, b = 10.615 Å, c = 6.129 Å, α = 90.00°, β = 109.50° and γ = 90.00°. The inequivalent atoms are Ce at (0.000, 0.000, 0.000), Ce at (0.000, 0.166, 0.500), Ce at (0.000, 0.331, 0.000), U at (0.000, 0.500, 0.500), N at (0.230, 0.500, 0.263) and N at (0.231, 0.346, 0.732).

***

(8)
First-principles (PBE-GGA) data for crystalline Ce2U2N5 at its relaxed geometry, as listed in the Alexandria database.

It has space group Cmce (No. 64), with a = 11.620 Å, b = 6.658 Å, c = 6.642 Å, α = 90.00°, β = 90.00° and γ = 90.00°. The inequivalent atoms are Ce at (0.000, 0.161, 0.164), U at (0.206, 0.000, 0.500), N at (0.000, 0.000, 0.500) and N at (0.146, 0.167, 0.862).

***

(9)
First-principles (PBE-GGA) data for crystalline CeU2VN4 at its relaxed geometry, as listed in the Alexandria database.

It has space group Cmcm (No. 63), with a = 3.342 Å, b = 11.593 Å, c = 11.458 Å, α = 90.00°, β = 90.00° and γ = 90.00°. The inequivalent atoms are Ce at (0.000, 0.102, 0.250), U at (0.000, 0.367, 0.052), V at (0.000, 0.161, 0.750), N at (0.000, 0.000, 0.000), N at (0.000, 0.271, 0.619) and N at (0.000, 0.443, 0.250).

***

(10)
First-principles (PBE-GGA) data for crystalline Ce2Y3UN6 at its relaxed geometry, as listed in the Alexandria database.

It has space group C2/m (No. 12), with a = 6.062 Å, b = 10.493 Å, c = 6.047 Å, α = 90.00°, β = 109.49° and γ = 90.00°. The inequivalent atoms are Ce at (0.000, 0.167, 0.000), Y at (0.000, 0.000, 0.500), Y at (0.000, 0.332, 0.500), U at (0.000, 0.500, 0.000), N at (0.232, 0.500, 0.760) and N at (0.237, 0.343, 0.242).

***

(11)
First-principles (PBE-GGA) data for crystalline CeY2UN4 at its relaxed geometry, as listed in the Alexandria database.

It has space group I-4m2 (No. 119), with a = 4.939 Å, b = 4.939 Å, c = 9.849 Å, α = 90.00°, β = 90.00° and γ = 90.00°. The inequivalent atoms are Ce at (0.000, 0.000, 0.000), Y at (0.000, 0.000, 0.500), Y at (0.000, 0.500, 0.250), U at (0.000, 0.500, 0.750), N at (0.000, 0.000, 0.251) and N at (0.000, 0.500, 0.517).

***

(12)
First-principles (PBE-GGA) data for crystalline Ce2YUN4 at its relaxed geometry, as listed in the Alexandria database.

It has space group P2/m (No. 10), with a = 6.009 Å, b = 3.507 Å, c = 6.123 Å, α = 90.00°, β = 109.09° and γ = 90.00°. The inequivalent atoms are Ce at (0.000, 0.000, 0.000), Ce at (0.500, 0.500, 0.000), Y at (0.000, 0.500, 0.500), U at (0.500, 0.000, 0.500), N at (0.264, 0.000, 0.727) and N at (0.272, 0.500, 0.279).

***

The following energy relative to the elements, uncorrected values (in eV/f.u.) correspond, in order, to the records above: -14.23 -0.88 -2.01 -10.76 -11.83 -13.55 -17.98 -10.99 -9.90 -18.87 -12.33 -12.17.